The following is a PBE-GGA calculation of a relaxed TbPmEuSc crystal, from Alexandria.

Theoretical density in g cm⁻³: 6.48
Formation enthalpy at 0 K in meV per atom: 169
Magnetization in μB/atom: 1.7483

Cell lengths 5.6616, 5.6616, 5.6616 Å; angles 60.00, 60.00, 60.00 degrees
Closest atoms and distances in Å follow each position.
Sites, in units of the cell vectors:
Tb  0.0000  0.0000  0.0000  4 Pm 3.47, 4 Eu 3.47
Pm  0.2500  0.2500  0.2500  4 Sc 3.47, 4 Tb 3.47
Eu  0.7500  0.7500  0.7500  4 Sc 3.47, 4 Tb 3.47
Sc  0.5000  0.5000  0.5000  4 Eu 3.47, 4 Pm 3.47



The following is a PBE-GGA calculation of a relaxed Na3Ti2Se4 crystal, from Alexandria.

Final energy in eV per atom: -4.751
Theoretical density in g cm⁻³: 3.47
Magnetization in μB/atom: 0.1100

Cell lengths 8.3239, 8.3239, 6.9107 Å; angles 91.25, 91.25, 73.94 degrees
Closest atoms and distances in Å follow each position.
Sites, in units of the cell vectors:
Na  0.0957  0.9043  0.7500  6 Se 3.05-3.13
Na  0.2543  0.5094  0.5049  5 Se 2.96-3.19
Na  0.4906  0.7457  0.9951  5 Se 2.96-3.19
Na  0.5094  0.2543  0.0049  5 Se 2.96-3.19
Na  0.7457  0.4906  0.4951  5 Se 2.96-3.19
Na  0.9043  0.0957  0.2500  6 Se 3.05-3.13
Ti  0.0738  0.3371  0.9266  4 Se 2.49-2.51
Ti  0.3371  0.0738  0.4266  4 Se 2.49-2.51
Ti  0.6629  0.9262  0.5734  4 Se 2.49-2.51
Ti  0.9262  0.6629  0.0734  4 Se 2.49-2.51
Se  0.0713  0.2446  0.5788  2 Ti 2.51
Se  0.2200  0.5631  0.9621  2 Ti 2.49-2.51
Se  0.2446  0.0713  0.0788  2 Ti 2.51
Se  0.4369  0.7800  0.5379  2 Ti 2.49-2.51
Se  0.5631  0.2200  0.4621  2 Ti 2.49-2.51
Se  0.7554  0.9287  0.9212  2 Ti 2.51
Se  0.7800  0.4369  0.0379  2 Ti 2.49-2.51
Se  0.9287  0.7554  0.4212  2 Ti 2.51



The following is a PBE-GGA calculation of a relaxed Sm2Ga3NiRh4 crystal, from Alexandria.

Theoretical density in g cm⁻³: 8.99
Formation enthalpy at 0 K in meV per atom: -685
Magnetization in μB/atom: 0.0005

Cell lengths 4.2162, 4.2162, 10.1878 Å; angles 90.00, 90.00, 90.00 degrees
Closest atoms and distances in Å follow each position.
Sites, in units of the cell vectors:
Sm  0.0000  0.5000  0.2489  8 Rh 3.22-3.30, 6 Ga 3.23-3.32, 2 Ni 3.32
Sm  0.5000  0.0000  0.7511  8 Rh 3.22-3.30, 6 Ga 3.23-3.32, 2 Ni 3.32
Ga  0.0000  0.5000  0.8720  5 Rh 2.45-2.48
Ga  0.5000  0.0000  0.1280  5 Rh 2.45-2.48
Ga  0.5000  0.5000  0.5000  4 Rh 2.50
Ni  0.0000  0.0000  0.5000  4 Rh 2.50
Rh  0.0000  0.0000  0.0000  4 Ga 2.48
Rh  0.0000  0.5000  0.6319  3 Ga 2.45-2.50, 2 Ni 2.50
Rh  0.5000  0.0000  0.3681  3 Ga 2.45-2.50, 2 Ni 2.50
Rh  0.5000  0.5000  0.0000  4 Ga 2.48



The following is a PBE-GGA calculation of a relaxed CsRb2IF8 crystal, from Alexandria.

Final energy in eV per atom: -3.797
Theoretical density in g cm⁻³: 3.93
Magnetization in μB/atom: 0.0000

Cell lengths 7.6909, 7.6909, 7.6909 Å; angles 131.97, 131.97, 70.28 degrees
Closest atoms and distances in Å follow each position.
Sites, in units of the cell vectors:
Cs  0.0000  0.0000  0.0000  8 F 2.97
Rb  0.2500  0.7500  0.5000  8 F 2.94
Rb  0.5000  0.5000  0.0000  8 F 2.94
I  0.7500  0.2500  0.5000  8 F 2.15
F  0.0495  0.1520  0.5040  1 I 2.15
F  0.0495  0.5455  0.8975  1 I 2.15
F  0.4545  0.3520  0.5040  1 I 2.15
F  0.4545  0.9505  0.1025  1 I 2.15
F  0.6480  0.1520  0.1025  1 I 2.15
F  0.6480  0.5455  0.4960  1 I 2.15
F  0.8480  0.3520  0.8975  1 I 2.15
F  0.8480  0.9505  0.4960  1 I 2.15



The following is a PBE-GGA calculation of a relaxed Sr2MgHg7 crystal, from Alexandria.

Theoretical density in g cm⁻³: 8.17
Formation enthalpy at 0 K in meV per atom: -129
Magnetization in μB/atom: 0.0000

Cell lengths 7.7235, 7.7235, 7.7235 Å; angles 60.00, 60.00, 60.00 degrees
Closest atoms and distances in Å follow each position.
Sites, in units of the cell vectors:
Sr  0.2500  0.2500  0.2500  12 Hg 3.86
Sr  0.7500  0.7500  0.7500  12 Hg 3.86
Mg  0.0000  0.0000  0.0000  6 Hg 2.66
Hg  0.2438  0.2438  0.7562  1 Mg 2.66, 1 Hg 2.80
Hg  0.2438  0.7562  0.2438  1 Mg 2.66, 1 Hg 2.80
Hg  0.2438  0.7562  0.7562  1 Mg 2.66, 1 Hg 2.80
Hg  0.5000  0.5000  0.5000  6 Hg 2.80
Hg  0.7562  0.2438  0.2438  1 Mg 2.66, 1 Hg 2.80
Hg  0.7562  0.2438  0.7562  1 Mg 2.66, 1 Hg 2.80
Hg  0.7562  0.7562  0.2438  1 Mg 2.66, 1 Hg 2.80



The following is a PBE-GGA calculation of a relaxed AcNd2HoBi4 crystal, from Alexandria.

Theoretical density in g cm⁻³: 8.86
Formation enthalpy at 0 K in meV per atom: -906
Magnetization in μB/atom: 0.0000

Cell lengths 8.0413, 4.6509, 8.0533 Å; angles 90.00, 109.42, 90.00 degrees
Closest atoms and distances in Å follow each position.
Sites, in units of the cell vectors:
Ac  0.0000  0.0000  0.0000  6 Bi 3.35
Nd  0.0000  0.5000  0.5000  6 Bi 3.33
Nd  0.5000  0.0000  0.5000  6 Bi 3.22-3.23
Ho  0.5000  0.5000  0.0000  6 Bi 3.24-3.25
Bi  0.2613  0.0000  0.7518  3 Nd 3.22-3.33, 2 Ho 3.25, 1 Ac 3.35
Bi  0.2631  0.5000  0.2563  3 Nd 3.23-3.33, 1 Ho 3.24, 2 Ac 3.35
Bi  0.7369  0.5000  0.7437  3 Nd 3.23-3.33, 1 Ho 3.24, 2 Ac 3.35
Bi  0.7387  0.0000  0.2482  3 Nd 3.22-3.33, 2 Ho 3.25, 1 Ac 3.35



The following is a PBE-GGA calculation of a relaxed Sr2GaSn3Pd4 crystal, from Alexandria.

Theoretical density in g cm⁻³: 7.38
Formation enthalpy at 0 K in meV per atom: -708
Magnetization in μB/atom: 0.0000

Cell lengths 4.7023, 4.7023, 10.4460 Å; angles 90.00, 90.00, 90.00 degrees
Closest atoms and distances in Å follow each position.
Sites, in units of the cell vectors:
Sr  0.0000  0.5000  0.2481  9 Pd 3.50-3.89, 7 Sn 3.53-3.89, 2 Ga 3.53
Sr  0.5000  0.0000  0.7519  9 Pd 3.50-3.89, 7 Sn 3.53-3.89, 2 Ga 3.53
Ga  0.0000  0.0000  0.5000  4 Pd 2.67
Sn  0.0000  0.5000  0.8760  5 Pd 2.67-2.68
Sn  0.5000  0.0000  0.1240  5 Pd 2.67-2.68
Sn  0.5000  0.5000  0.5000  4 Pd 2.67
Pd  0.0000  0.0000  0.0000  4 Sn 2.68
Pd  0.0000  0.5000  0.6208  3 Sn 2.67, 2 Ga 2.67
Pd  0.5000  0.0000  0.3792  3 Sn 2.67, 2 Ga 2.67
Pd  0.5000  0.5000  0.0000  4 Sn 2.68



The following is a PBE-GGA calculation of a relaxed Tb3Ir7Rh2 crystal, from Alexandria.

Theoretical density in g cm⁻³: 15.75
Formation enthalpy at 0 K in meV per atom: -610
Magnetization in μB/atom: 0.0000

Cell lengths 9.3154, 9.3154, 9.3154 Å; angles 33.04, 33.04, 33.04 degrees
Closest atoms and distances in Å follow each position.
Sites, in units of the cell vectors:
Tb  0.0000  0.0000  0.0000  6 Rh 3.06
Tb  0.1394  0.1394  0.1394  12 Ir 3.05-3.32, 3 Tb 3.38
Tb  0.8606  0.8606  0.8606  12 Ir 3.05-3.32, 3 Tb 3.38
Ir  0.0823  0.5825  0.5825  5 Ir 2.65-2.70, 2 Rh 2.65-2.67
Ir  0.4175  0.4175  0.9177  5 Ir 2.65-2.70, 2 Rh 2.65-2.67
Ir  0.4175  0.9177  0.4175  5 Ir 2.65-2.70, 2 Rh 2.65-2.67
Ir  0.5000  0.5000  0.5000  6 Ir 2.70
Ir  0.5825  0.0823  0.5825  5 Ir 2.65-2.70, 2 Rh 2.65-2.67
Ir  0.5825  0.5825  0.0823  5 Ir 2.65-2.70, 2 Rh 2.65-2.67
Ir  0.9177  0.4175  0.4175  5 Ir 2.65-2.70, 2 Rh 2.65-2.67
Rh  0.3330  0.3330  0.3330  6 Ir 2.65-2.67
Rh  0.6670  0.6670  0.6670  6 Ir 2.65-2.67



theoretical density of number 5 (Sr2MgHg7)? 8.17 g cm⁻³